An optimized crystal structure of NiOs3O, computed with GGA+U.

Summary:
Energy relative to the lowest polymorph listed for this composition   1.663 eV/atom
Total magnetization   6.76 Bohr magnetons per cell
DOS(E_F)   4.88 states/eV per cell
E   -5.35 eV/atom
Symmetry   Pm-3m

Cell and atoms, written as POSCAR:
```
NiOs3O
1.0
-0.3887 -4.3750 0.5525
3.0133 -0.6685 -3.1733
3.2195 0.0975 3.0368
Ni Os O
1 3 1
direct
0.0000 0.0000 0.0000
0.0000 0.5000 0.0000
0.0000 0.0000 0.5000
0.5000 0.0000 0.0000
0.5000 0.5000 0.5000
```